## Ac2Tb2Th (PBE)

Data for crystalline Ac2Tb2Th at its relaxed geometry.

As for the formation energy: 0.072 eV/atom. The magnetic moment is 0.0 μB/f.u. The value obtained for the final energy is -0.18036 hartree per atom.

a b c (Å): 3.7316 3.7316 15.2108
angles (deg): 90.00 90.00 60.00
Last column: nearest neighbours and their distance in Å.
Sites, in units of the cell vectors:
Th: 0.0000 0.0000 0.0000  6 Tb 3.52, 6 Th 3.73
Tb: 0.6665 0.6665 0.8167  3 Th 3.52, 6 Tb 3.73, 3 Ac 3.80
Ac: 0.3333 0.3333 0.6108  9 Ac 3.73-4.00, 3 Tb 3.80
Tb: 0.3335 0.3335 0.1833  3 Th 3.52, 6 Tb 3.73, 3 Ac 3.80
Ac: 0.6667 0.6667 0.3892  9 Ac 3.73-4.00, 3 Tb 3.80

=====

## Ni2HgAu (PBE)

Data for crystalline Ni2HgAu at its relaxed geometry.

As for the formation energy: 0.268 eV/atom. The magnetic moment is 0.4 μB/f.u. The value obtained for the final energy is -0.12925 hartree per atom.

a b c (Å): 2.9392 4.9676 5.4293
angles (deg): 51.44 90.00 90.00
Last column: nearest neighbours and their distance in Å.
Sites, in units of the cell vectors:
Hg: 0.0000 0.0000 0.5000  6 Ni 2.70-2.71, 4 Au 2.89, 2 Hg 2.94
Ni: 0.0000 0.0000 0.0000  4 Au 2.70, 2 Hg 2.71, 6 Ni 2.89-2.94
Ni: 0.5000 0.5000 0.0000  4 Hg 2.70, 2 Au 2.71, 6 Ni 2.89-2.94
Au: 0.5000 0.5000 0.5000  6 Ni 2.70-2.71, 4 Hg 2.89, 2 Au 2.94